# CsVI3

A PBEsol-optimized structure of CsVI3 (SCAN, Alexandria via LeMat-Bulk). Values from VASP.

```
&SYSTEM
  ibrav = 0, nat = 10, ntyp = 3
/
ATOMIC_SPECIES
Cs 132.91 Cs.upf
V 50.94 V.upf
I 126.90 I.upf
ATOMIC_POSITIONS crystal
Cs 0.333 0.667 0.250
Cs 0.667 0.333 0.750
V 0.000 0.000 0.000
V 0.000 0.000 0.500
I 0.161 0.323 0.750
I 0.161 0.839 0.750
I 0.323 0.161 0.250
I 0.677 0.839 0.750
I 0.839 0.161 0.250
I 0.839 0.677 0.250
CELL_PARAMETERS angstrom
7.977 0.000 0.000
-3.989 6.908 0.000
0.000 0.000 6.779
```

Properties
* VASP energy: -34.294 eV/atom
* ΔE_f (raw): -1.189 eV/atom

=====

# ReSi2Pb

A PBEsol-optimized structure of ReSi2Pb (SCAN, Alexandria via LeMat-Bulk). Values from VASP.

```
&SYSTEM
  ibrav = 0, nat = 4, ntyp = 3
/
ATOMIC_SPECIES
Re 186.21 Re.upf
Si 28.09 Si.upf
Pb 207.20 Pb.upf
ATOMIC_POSITIONS crystal
Re 0.000 0.000 0.000
Si 0.000 0.500 0.500
Si 0.500 0.500 0.000
Pb 0.500 0.000 0.500
CELL_PARAMETERS angstrom
3.296 0.000 0.000
0.000 4.444 0.000
0.000 0.000 4.662
```

Properties
* VASP energy: -40.560 eV/atom
* ΔE_f (raw): 1.167 eV/atom

=====

# ZrMnBr

A PBEsol-optimized structure of ZrMnBr (SCAN, Alexandria via LeMat-Bulk). Values from VASP.

```
&SYSTEM
  ibrav = 0, nat = 3, ntyp = 3
/
ATOMIC_SPECIES
Zr 91.22 Zr.upf
Mn 54.94 Mn.upf
Br 79.90 Br.upf
ATOMIC_POSITIONS crystal
Zr 0.000 0.000 0.000
Mn 0.354 0.354 0.000
Br 0.648 0.648 0.000
CELL_PARAMETERS angstrom
-1.569 1.569 6.257
1.569 -1.569 6.257
1.569 1.569 -6.257
```

Properties
* VASP energy: -23.074 eV/atom
* ΔE_f (raw): -0.269 eV/atom